A.
The following is a PBE calculation of a geometry-optimized Zr2IrOs structure, from Alexandria via LeMat-Bulk.

Lattice parameters (Å, degrees): 10.2202 10.2202 10.2202 16.15 16.15 16.15
Closest atoms and distances in Å follow each position.
Fractional positions:
Zr1 0.0000 0.0000 0.0000  6 Zr 2.87, 3 Ir 2.98
Zr2 0.2350 0.2350 0.2350  6 Zr 2.87, 3 Os 3.02
Ir1 0.7486 0.7486 0.7486  3 Os 2.68, 6 Ir 2.87, 3 Zr 2.98
Os1 0.4848 0.4848 0.4848  3 Ir 2.68, 6 Os 2.87

Results
The calculation puts the volume at 71.98 Å³/cell. The crystal system is trigonal.


B.
The following is a PBE calculation of a geometry-optimized Zr2IrOs structure, from Alexandria via LeMat-Bulk.

Lattice parameters (Å, degrees): 4.6643 4.6643 4.6643 60.00 60.00 60.00
Closest atoms and distances in Å follow each position.
Fractional positions:
Zr1 0.2500 0.2500 0.2500  4 Os 2.86, 4 Ir 2.86
Zr2 0.7500 0.7500 0.7500  4 Os 2.86, 4 Ir 2.86
Ir1 0.0000 0.0000 0.0000  8 Zr 2.86
Os1 0.5000 0.5000 0.5000  8 Zr 2.86

Results
The calculation puts the volume at 71.75 Å³/cell. The crystal system is cubic.


Computed relative energies in units of eV/atom: A 0.778; B 0.000


A.
The following is a PBE calculation of a geometry-optimized ZrIrOs structure, from Alexandria via LeMat-Bulk.

Lattice parameters (Å, degrees): 6.5524 5.1103 6.6651 90.00 107.59 90.00
Closest atoms and distances in Å follow each position.
Fractional positions:
Zr1 0.1972 0.1226 0.3895  4 Ir 2.66-2.92, 3 Os 2.92-2.96
Zr2 0.1972 0.3774 0.8895  4 Ir 2.66-2.92, 3 Os 2.92-2.96
Zr3 0.8028 0.6226 0.1105  4 Ir 2.66-2.92, 3 Os 2.92-2.96
Zr4 0.8028 0.8774 0.6105  4 Ir 2.66-2.92, 3 Os 2.92-2.96
Ir1 0.1683 0.6365 0.5189  1 Ir 2.56, 3 Os 2.62-2.73, 3 Zr 2.66-2.79
Ir2 0.1683 0.8635 0.0189  1 Ir 2.56, 3 Os 2.62-2.73, 3 Zr 2.66-2.79
Ir3 0.8317 0.1365 0.9811  1 Ir 2.56, 3 Os 2.62-2.73, 3 Zr 2.66-2.79
Ir4 0.8317 0.3635 0.4811  1 Ir 2.56, 3 Os 2.62-2.73, 3 Zr 2.66-2.79
Os1 0.4589 0.5818 0.3031  3 Ir 2.62-2.73, 3 Os 2.65-2.75, 1 Zr 2.92
Os2 0.4589 0.9182 0.8031  3 Ir 2.62-2.73, 3 Os 2.65-2.75, 1 Zr 2.92
Os3 0.5411 0.0819 0.1969  3 Ir 2.62-2.73, 3 Os 2.65-2.75, 1 Zr 2.92
Os4 0.5411 0.4182 0.6969  3 Ir 2.62-2.73, 3 Os 2.65-2.75, 1 Zr 2.92

Results
The calculation puts the volume at 212.75 Å³/cell. The crystal system is monoclinic.


B.
The following is a PBE calculation of a geometry-optimized ZrIrOs structure, from Alexandria via LeMat-Bulk.

Lattice parameters (Å, degrees): 6.5058 6.5058 6.5058 154.79 154.79 35.96
Closest atoms and distances in Å follow each position.
Fractional positions:
Zr1 0.0000 0.0000 0.0000  4 Zr 2.84, 4 Os 2.99, 4 Ir 3.00
Ir1 0.6800 0.6800 0.0000  4 Os 2.66, 4 Ir 2.84
Os1 0.3208 0.3208 0.0000  4 Ir 2.66, 4 Os 2.84

Results
The calculation puts the volume at 49.91 Å³/cell. The crystal system is tetragonal.


C.
The following is a PBE calculation of a geometry-optimized ZrIrOs structure, from Alexandria via LeMat-Bulk.

Lattice parameters (Å, degrees): 4.5439 4.5439 2.7994 90.00 90.00 120.00
Closest atoms and distances in Å follow each position.
Fractional positions:
Zr1 0.0000 0.0000 0.0000  3 Os 2.73, 3 Ir 2.75, 2 Zr 2.80
Ir1 0.3333 0.6667 0.2938  3 Zr 2.75, 2 Ir 2.80, 6 Os 2.89-3.07
Os1 0.6667 0.3333 0.7264  3 Zr 2.73, 2 Os 2.80, 3 Ir 2.89

Results
The calculation puts the volume at 50.06 Å³/cell. The crystal system is trigonal.


Computed relative energies in units of eV/atom: A 0.000; B 0.090; C 0.321


A.
The following is a PBE calculation of a geometry-optimized ZrIrOs structure, from Alexandria via LeMat-Bulk.

Lattice parameters (Å, degrees): 4.3669 4.3669 4.3669 60.00 60.00 60.00
Closest atoms and distances in Å follow each position.
Fractional positions:
Zr1 0.0000 0.0000 0.0000  4 Os 2.67
Ir1 0.5000 0.5000 0.5000  4 Os 2.67
Os1 0.2500 0.2500 0.2500  4 Zr 2.67, 4 Ir 2.67

Results
The calculation puts the volume at 58.89 Å³/cell. The crystal system is cubic.


B.
The following is a PBE calculation of a geometry-optimized ZrIrOs structure, from Alexandria via LeMat-Bulk.

Lattice parameters (Å, degrees): 4.3730 4.3730 4.3730 60.00 60.00 60.00
Closest atoms and distances in Å follow each position.
Fractional positions:
Zr1 0.0000 0.0000 0.0000  4 Os 2.68, 4 Ir 2.68
Ir1 0.7500 0.7500 0.7500  4 Zr 2.68
Os1 0.2500 0.2500 0.2500  4 Zr 2.68

Results
The calculation puts the volume at 59.13 Å³/cell. The crystal system is cubic.


Computed relative energies in units of eV/atom: A 0.000; B 0.312


A.
The following is a PBE calculation of a geometry-optimized ZrIrOs3 structure, from Alexandria via LeMat-Bulk.

Lattice parameters (Å, degrees): 4.7097 4.7097 4.7097 90.00 90.00 90.00
Closest atoms and distances in Å follow each position.
Fractional positions:
Zr1 0.0000 0.0000 0.0000  6 Os 2.35
Ir1 0.5000 0.5000 0.5000  12 Os 3.33
Os1 0.0000 0.0000 0.5000  2 Zr 2.35
Os2 0.0000 0.5000 0.0000  2 Zr 2.35
Os3 0.5000 0.0000 0.0000  2 Zr 2.35

Results
The calculation puts the volume at 104.47 Å³/cell. The crystal system is cubic.


B.
The following is a PBE calculation of a geometry-optimized ZrIrOs3 structure, from Alexandria via LeMat-Bulk.

Lattice parameters (Å, degrees): 4.6954 4.6954 4.6954 90.00 90.00 90.00
Closest atoms and distances in Å follow each position.
Fractional positions:
Zr1 0.0000 0.0000 0.0000  12 Os 3.32
Ir1 0.5000 0.5000 0.5000  6 Os 2.35
Os1 0.0000 0.5000 0.5000  2 Ir 2.35
Os2 0.5000 0.0000 0.5000  2 Ir 2.35
Os3 0.5000 0.5000 0.0000  2 Ir 2.35

Results
The calculation puts the volume at 103.52 Å³/cell. The crystal system is cubic.


Computed relative energies in units of eV/atom: A 1.079; B 0.000


A.
The following is a PBE calculation of a geometry-optimized P3Ir5 structure, from Alexandria via LeMat-Bulk.

Lattice parameters (Å, degrees): 5.5990 5.5990 3.6936 90.00 90.00 101.99
Closest atoms and distances in Å follow each position.
Fractional positions:
P1 0.0000 0.0000 0.0000  4 Ir 2.34
P2 0.3133 0.6867 0.5000  8 Ir 2.46-2.65
P3 0.6867 0.3133 0.5000  8 Ir 2.46-2.65
Ir1 0.0000 0.5000 0.0000  6 P 2.61-2.80, 6 Ir 2.80-2.87
Ir2 0.2035 0.2035 0.5000  2 P 2.34
Ir3 0.5000 0.0000 0.0000  6 P 2.61-2.80, 6 Ir 2.80-2.87
Ir4 0.5000 0.5000 0.0000  4 P 2.46
Ir5 0.7965 0.7965 0.5000  2 P 2.34

Results
The calculation puts the volume at 113.27 Å³/cell. The crystal system is orthorhombic.


B.
The following is a PBE calculation of a geometry-optimized P3Ir5 structure, from Alexandria via LeMat-Bulk.

Lattice parameters (Å, degrees): 6.6701 6.6701 6.5730 90.00 90.00 120.00
Closest atoms and distances in Å follow each position.
Fractional positions:
P1 0.0000 0.3661 0.2500  3 Ir 2.20-2.26
P2 0.0000 0.6339 0.7500  3 Ir 2.20-2.26
P3 0.3661 0.0000 0.2500  3 Ir 2.20-2.26
P4 0.3661 0.3661 0.7500  3 Ir 2.20-2.26
P5 0.6339 0.0000 0.7500  3 Ir 2.20-2.26
P6 0.6339 0.6339 0.2500  3 Ir 2.20-2.26
Ir1 0.0000 0.3041 0.7500  3 P 2.20-2.26
Ir2 0.0000 0.6959 0.2500  3 P 2.20-2.26
Ir3 0.3041 0.0000 0.7500  3 P 2.20-2.26
Ir4 0.3041 0.3041 0.2500  3 P 2.20-2.26
Ir5 0.3333 0.6667 0.0000  6 P 2.68, 6 Ir 2.85
Ir6 0.3333 0.6667 0.5000  6 P 2.68, 6 Ir 2.85
Ir7 0.6667 0.3333 0.0000  6 P 2.68, 6 Ir 2.85
Ir8 0.6667 0.3333 0.5000  6 P 2.68, 6 Ir 2.85
Ir9 0.6959 0.0000 0.2500  3 P 2.20-2.26
Ir10 0.6959 0.6959 0.7500  3 P 2.20-2.26

Results
The calculation puts the volume at 253.26 Å³/cell. The crystal system is hexagonal.


Computed relative energies in units of eV/atom: A 0.007; B 0.000


A.
The following is a PBE calculation of a geometry-optimized P3Ir structure, from Alexandria via LeMat-Bulk.

Lattice parameters (Å, degrees): 4.6782 4.6782 4.6782 90.00 90.00 90.00
Closest atoms and distances in Å follow each position.
Fractional positions:
P1 0.0000 0.0000 0.5000  2 Ir 2.34
P2 0.0000 0.5000 0.0000  2 Ir 2.34
P3 0.5000 0.0000 0.0000  2 Ir 2.34
Ir1 0.0000 0.0000 0.0000  6 P 2.34

Results
The calculation puts the volume at 102.38 Å³/cell. The crystal system is cubic.


B.
The following is a PBE calculation of a geometry-optimized P3Ir structure, from Alexandria via LeMat-Bulk.

Lattice parameters (Å, degrees): 6.2456 6.2456 6.2456 154.65 53.68 133.52
Closest atoms and distances in Å follow each position.
Fractional positions:
P1 0.0000 0.0000 0.0000  2 P 2.23, 2 Ir 2.35
P2 0.1900 0.3277 0.8623  1 P 2.23, 2 Ir 2.49
P3 0.4654 0.3277 0.1377  1 P 2.23, 2 Ir 2.49
Ir1 0.6132 0.1132 0.5000  6 P 2.35-2.49

Results
The calculation puts the volume at 75.29 Å³/cell. The crystal system is orthorhombic.


Computed relative energies in units of eV/atom: A 1.011; B 0.000